(a)
Material: LiV6O7F5
Method: DFT, GGA+U
State: optimized geometry

Summary:
The value obtained for the theoretical density is 4.0 g/cm³.

Cell: 4.852 5.688 7.758 Å, 85.45 89.14 88.93°
Last column: magnetic moment on the atom in μB.
Element x y z (fractional)
1 O 0.316 0.794 0.901  -0.04
2 V 0.544 0.188 0.355  1.95
3 Li 0.496 0.902 0.097  0.00
4 F 0.806 0.030 0.760  0.01
5 F 0.193 0.638 0.561  0.01
6 F 0.196 0.973 0.235  0.01
7 O 0.314 0.136 0.568  -0.06
8 V 0.998 0.000 0.995  1.97
9 V 0.026 0.324 0.662  1.98
10 V 0.953 0.672 0.329  1.97
11 V 0.490 0.478 0.993  1.97
12 O 0.678 0.189 0.104  -0.06
13 F 0.695 0.528 0.755  0.00
14 F 0.307 0.485 0.241  0.00
15 O 0.692 0.863 0.438  -0.07
16 O 0.800 0.701 0.094  -0.05
17 V 0.485 0.846 0.662  1.94
18 O 0.821 0.371 0.441  -0.07
19 O 0.184 0.292 0.899  -0.07


(b)
Material: LiV6O7F5
Method: DFT, GGA+U
State: optimized geometry

Summary:
The value obtained for the theoretical density is 4.1 g/cm³.

Cell: 5.670 5.680 7.534 Å, 71.84 71.63 71.74°
Last column: magnetic moment on the atom in μB.
Element x y z (fractional)
1 F 0.111 0.103 0.704  0.01
2 F 0.892 0.896 0.300  0.01
3 V 0.333 0.349 0.677  1.97
4 O 0.645 0.050 0.659  -0.03
5 Li 0.569 0.057 0.434  0.00
6 O 0.226 0.227 0.966  -0.07
7 O 0.957 0.354 0.335  -0.06
8 O 0.369 0.951 0.335  -0.03
9 O 0.782 0.779 0.027  -0.08
10 V 0.696 0.697 0.829  1.96
11 V 0.016 0.996 0.502  1.91
12 F 0.693 0.310 0.000  0.00
13 F 0.570 0.585 0.635  0.01
14 V 0.002 0.006 0.000  2.01
15 V 0.300 0.322 0.173  1.95
16 F 0.308 0.702 0.995  0.00
17 V 0.652 0.635 0.308  1.95
18 O 0.041 0.644 0.666  -0.06
19 O 0.427 0.411 0.369  -0.05


What should be chosen as the least stable of them? Choose (b).


(a)
Material: Li3V4O3F9
Method: DFT, GGA+U
State: optimized geometry

Summary:
The value obtained for the theoretical density is 2.8 g/cm³.

Cell: 5.496 5.836 9.629 Å, 99.24 85.23 121.53°
Last column: magnetic moment on the atom in μB.
Element x y z (fractional)
1 F 0.083 0.694 0.534  0.00
2 Li 0.212 0.263 0.353  0.00
3 F 0.546 0.895 0.003  0.00
4 F 0.562 0.824 0.682  0.02
5 O 0.536 0.257 0.676  -0.09
6 Li 0.723 0.510 0.142  0.00
7 F 0.827 0.052 0.420  0.00
8 F 0.903 0.316 0.165  0.00
9 O 0.074 0.881 0.844  -0.07
10 Li 0.806 0.654 0.683  0.00
11 F 0.950 0.901 0.143  0.00
12 O 0.403 0.072 0.343  -0.07
13 F 0.457 0.580 0.267  0.00
14 V 0.002 0.098 0.980  1.95
15 V 0.468 0.990 0.526  1.92
16 F 0.920 0.306 0.876  0.00
17 V 0.614 0.956 0.231  1.97
18 V 0.485 0.074 0.832  1.97
19 F 0.440 0.331 0.994  0.01


(b)
Material: Li3V4O3F9
Method: DFT, GGA+U
State: optimized geometry

Summary:
The value obtained for the theoretical density is 3.4 g/cm³.

Cell: 5.151 5.563 9.099 Å, 71.56 105.74 117.83°
Last column: magnetic moment on the atom in μB.
Element x y z (fractional)
1 V 0.983 0.016 0.009  1.94
2 F 0.668 0.957 0.804  0.00
3 F 0.796 0.881 0.384  0.01
4 Li 0.070 0.741 0.356  0.00
5 F 0.331 0.704 0.557  0.00
6 O 0.800 0.572 0.693  -0.06
7 O 0.809 0.199 0.060  -0.07
8 V 0.757 0.247 0.248  1.97
9 F 0.772 0.640 0.132  0.00
10 V 0.536 0.484 0.501  1.92
11 Li 0.796 0.014 0.599  0.00
12 F 0.202 0.466 0.318  0.00
13 F 0.258 0.382 0.876  0.00
14 V 0.212 0.734 0.748  1.96
15 F 0.239 0.120 0.629  0.00
16 Li 0.576 0.294 0.863  0.00
17 F 0.194 0.862 0.928  0.01
18 O 0.715 0.317 0.437  -0.06
19 F 0.306 0.052 0.203  0.01


(c)
Material: Li3V4O3F9
Method: DFT, GGA+U
State: optimized geometry

Summary:
The value obtained for the theoretical density is 2.9 g/cm³.

Cell: 5.884 5.642 9.263 Å, 103.72 84.23 122.23°
Last column: magnetic moment on the atom in μB.
Element x y z (fractional)
1 V 0.661 0.474 0.251  1.99
2 O 0.827 0.176 0.701  -0.06
3 Li 0.016 0.200 0.382  0.00
4 V 0.191 0.307 0.728  1.98
5 F 0.218 0.682 0.852  0.00
6 Li 0.533 0.901 0.561  0.00
7 Li 0.705 0.978 0.873  0.00
8 F 0.826 0.417 0.411  0.00
9 F 0.630 0.174 0.057  0.01
10 F 0.605 0.572 0.763  0.01
11 O 0.310 0.124 0.285  -0.04
12 O 0.272 0.319 0.217  -0.03
13 V 0.204 0.964 0.049  2.71
14 V 0.931 0.562 0.648  2.73
15 F 0.723 0.829 0.399  0.01
16 F 0.084 0.096 0.895  0.02
17 F 0.223 0.986 0.607  0.00
18 F 0.805 0.729 0.110  0.01
19 F 0.252 0.506 0.554  0.01


(d)
Material: Li3V4O3F9
Method: DFT, GGA+U
State: optimized geometry

Summary:
The value obtained for the theoretical density is 3.6 g/cm³.

Cell: 5.916 5.874 6.163 Å, 98.13 100.22 98.76°
Last column: magnetic moment on the atom in μB.
Element x y z (fractional)
1 Li 0.855 0.655 0.369  0.00
2 F 0.186 0.589 0.414  0.00
3 F 0.334 0.937 0.137  0.00
4 F 0.879 0.683 0.041  0.00
5 F 0.059 0.323 0.931  0.00
6 V 0.682 0.401 0.841  1.94
7 F 0.098 0.943 0.704  -0.01
8 O 0.424 0.172 0.572  -0.04
9 Li 0.286 0.592 0.111  0.00
10 V 0.611 0.147 0.337  1.94
11 V 0.401 0.849 0.671  1.94
12 F 0.947 0.110 0.313  0.00
13 F 0.659 0.064 0.918  0.00
14 O 0.822 0.407 0.575  -0.03
15 Li 0.017 0.997 0.013  0.00
16 V 0.139 0.314 0.615  1.94
17 F 0.635 0.839 0.472  0.00
18 O 0.406 0.568 0.799  -0.05
19 F 0.561 0.410 0.169  0.00


What should be chosen as the least stable of them? Choose (c).


(a)
Material: Li3V4O3F9
Method: DFT, GGA+U
State: optimized geometry

Summary:
The value obtained for the theoretical density is 3.4 g/cm³.

Cell: 5.248 5.499 9.150 Å, 69.73 105.76 117.70°
Last column: magnetic moment on the atom in μB.
Element x y z (fractional)
1 F 0.008 0.637 0.129  0.00
2 F 0.047 0.289 0.451  0.01
3 O 0.538 0.429 0.306  -0.07
4 Li 0.924 0.235 0.651  0.00
5 O 0.060 0.401 0.885  -0.12
6 F 0.430 0.569 0.677  0.00
7 O 0.501 0.121 0.620  -0.05
8 F 0.485 0.870 0.375  0.00
9 F 0.577 0.828 0.950  0.00
10 F 0.950 0.677 0.556  0.01
11 Li 0.206 0.985 0.406  0.00
12 F 0.438 0.169 0.070  0.01
13 V 0.502 0.478 0.500  1.93
14 F 0.961 0.088 0.201  0.00
15 Li 0.318 0.559 0.105  0.00
16 V 0.263 0.764 0.753  1.93
17 V 0.010 0.035 0.997  1.99
18 V 0.733 0.264 0.257  1.98
19 F 0.059 0.955 0.804  0.00


(b)
Material: Li3V4O3F9
Method: DFT, GGA+U
State: optimized geometry

Summary:
The value obtained for the theoretical density is 3.0 g/cm³.

Cell: 5.407 5.953 9.575 Å, 105.56 80.77 124.42°
Last column: magnetic moment on the atom in μB.
Element x y z (fractional)
1 V 0.225 0.239 0.080  1.95
2 F 0.676 0.282 0.700  0.00
3 F 0.199 0.082 0.256  0.01
4 F 0.268 0.579 0.223  0.00
5 O 0.807 0.895 0.745  -0.07
6 Li 0.550 0.829 0.919  0.01
7 V 0.731 0.977 0.585  1.93
8 F 0.290 0.411 0.903  0.00
9 O 0.635 0.678 0.420  -0.03
10 F 0.194 0.212 0.567  0.01
11 F 0.682 0.491 0.110  0.00
12 Li 0.500 0.297 0.411  0.00
13 F 0.259 0.784 0.601  0.00
14 V 0.736 0.830 0.245  1.93
15 F 0.763 0.172 0.404  0.00
16 V 0.226 0.085 0.743  1.96
17 O 0.809 0.010 0.088  -0.06
18 F 0.289 0.978 0.920  0.00
19 Li 0.177 0.509 0.424  0.00


What should be chosen as the least stable of them? Choose (b).


(a)
Material: LiV3O4F2
Method: DFT, GGA+U
State: optimized geometry

Summary:
The value obtained for the theoretical density is 3.9 g/cm³.

Cell: 5.182 5.675 5.163 Å, 118.41 61.08 119.06°
Last column: magnetic moment on the atom in μB.
Element x y z (fractional)
1 O 0.506 0.752 0.287  -0.04
2 F 0.928 0.741 0.549  0.01
3 O 0.064 0.205 0.408  -0.05
4 V 0.669 0.990 0.646  1.96
5 V 0.374 0.061 0.345  1.94
6 F 0.262 0.747 0.926  0.00
7 O 0.445 0.252 0.754  -0.03
8 Li 0.828 0.598 0.892  0.00
9 O 0.762 0.234 0.056  -0.04
10 V 0.162 0.421 0.138  1.95


(b)
Material: LiV3O4F2
Method: DFT, GGA+U
State: optimized geometry

Summary:
The value obtained for the theoretical density is 4.0 g/cm³.

Cell: 4.897 8.675 10.287 Å, 90.00 90.00 90.00°
Last column: magnetic moment on the atom in μB.
Element x y z (fractional)
1 V 0.485 0.925 0.358  1.95
2 V 0.039 0.750 0.601  1.94
3 F 0.234 0.411 0.969  0.00
4 F 0.266 0.089 0.469  0.00
5 O 0.828 0.750 0.767  -0.01
6 V 0.015 0.925 0.858  1.95
7 F 0.766 0.589 0.031  0.00
8 V 0.485 0.575 0.358  1.95
9 O 0.249 0.918 0.699  -0.05
10 Li 0.541 0.250 0.220  0.00
11 F 0.234 0.089 0.969  0.00
12 Li 0.959 0.250 0.720  0.00
13 V 0.515 0.425 0.642  1.95
14 F 0.266 0.411 0.469  0.00
15 V 0.539 0.250 0.899  1.94
16 V 0.461 0.750 0.101  1.94
17 O 0.328 0.250 0.733  -0.01
18 O 0.739 0.250 0.561  -0.05
19 F 0.734 0.911 0.531  0.00
20 V 0.515 0.075 0.642  1.95
21 O 0.751 0.418 0.301  -0.05
22 O 0.672 0.750 0.267  -0.01
23 O 0.239 0.750 0.939  -0.05
24 O 0.251 0.918 0.199  -0.05
25 V 0.985 0.425 0.142  1.95
26 F 0.766 0.911 0.031  0.00
27 O 0.172 0.250 0.233  -0.01
28 O 0.761 0.250 0.061  -0.05
29 Li 0.459 0.750 0.780  0.00
30 V 0.985 0.075 0.142  1.95
31 O 0.251 0.582 0.199  -0.05
32 V 0.015 0.575 0.858  1.95
33 O 0.261 0.750 0.439  -0.05
34 O 0.749 0.418 0.801  -0.05
35 Li 0.041 0.750 0.280  0.00
36 O 0.749 0.082 0.801  -0.05
37 F 0.734 0.589 0.531  0.00
38 V 0.961 0.250 0.399  1.94
39 O 0.249 0.582 0.699  -0.05
40 O 0.751 0.082 0.301  -0.05


What should be chosen as the least stable of them? Choose (a).


(a)
Material: Li5VO3F2
Method: DFT, GGA+U
State: optimized geometry

Summary:
The value obtained for the theoretical density is 2.6 g/cm³.

Cell: 4.026 5.226 5.978 Å, 109.72 90.00 112.65°
Last column: magnetic moment on the atom in μB.
Element x y z (fractional)
1 V 0.000 0.000 0.000  1.89
2 Li 0.000 0.000 0.500  0.00
3 Li 0.328 0.656 0.120  0.00
4 Li 0.297 0.594 0.693  0.00
5 Li 0.672 0.344 0.880  0.00
6 O 0.140 0.281 0.820  0.00
7 F 0.177 0.354 0.342  0.00
8 O 0.860 0.719 0.180  0.00
9 Li 0.703 0.406 0.307  0.00
10 F 0.823 0.646 0.658  0.00
11 O 0.500 0.000 0.000  0.01


(b)
Material: Li5VO3F2
Method: DFT, GGA+U
State: optimized geometry

Summary:
The value obtained for the theoretical density is 2.6 g/cm³.

Cell: 3.924 5.377 6.072 Å, 111.54 90.00 111.40°
Last column: magnetic moment on the atom in μB.
Element x y z (fractional)
1 O 0.826 0.651 0.690  0.00
2 Li 0.689 0.378 0.345  0.00
3 Li 0.679 0.358 0.848  0.00
4 F 0.847 0.695 0.203  0.00
5 O 0.133 0.267 0.822  0.01
6 Li 0.962 0.925 0.540  0.00
7 O 0.497 0.994 0.066  -0.01
8 F 0.191 0.383 0.327  0.00
9 Li 0.314 0.628 0.126  0.00
10 V 0.997 0.994 0.992  1.89
11 Li 0.281 0.562 0.685  0.00


What should be chosen as the least stable of them? Choose (b).


(a)
Material: Li4V4O3F9
Method: DFT, GGA+U
State: optimized geometry

Summary:
The value obtained for the theoretical density is 2.9 g/cm³.

Cell: 5.089 5.686 10.156 Å, 103.30 86.47 114.41°
Last column: magnetic moment on the atom in μB.
Element x y z (fractional)
1 V 0.429 0.557 0.994  2.06
2 V 0.857 0.726 0.230  1.96
3 F 0.351 0.830 0.921  0.01
4 F 0.153 0.614 0.152  0.00
5 F 0.033 0.225 0.913  0.00
6 V 0.273 0.045 0.545  2.08
7 F 0.206 0.386 0.630  0.01
8 F 0.080 0.062 0.375  0.01
9 F 0.541 0.371 0.120  0.01
10 O 0.651 0.272 0.570  -0.08
11 Li 0.576 0.601 0.557  0.00
12 Li 0.993 0.853 0.923  0.00
13 O 0.754 0.869 0.105  -0.06
14 F 0.749 0.552 0.380  0.00
15 F 0.307 0.711 0.470  0.01
16 O 0.670 0.482 0.862  -0.12
17 V 0.831 0.271 0.740  2.47
18 Li 0.969 0.378 0.448  0.00
19 F 0.894 0.915 0.648  0.01
20 Li 0.684 0.126 0.032  0.00


(b)
Material: Li4V4O3F9
Method: DFT, GGA+U
State: optimized geometry

Summary:
The value obtained for the theoretical density is 3.0 g/cm³.

Cell: 5.859 5.358 9.315 Å, 96.78 89.48 119.93°
Last column: magnetic moment on the atom in μB.
Element x y z (fractional)
1 F 0.026 0.253 0.301  0.00
2 V 0.272 0.079 0.270  1.92
3 F 0.563 0.437 0.383  0.01
4 Li 0.665 0.441 0.991  0.00
5 F 0.690 0.116 0.554  0.00
6 O 0.343 0.268 0.095  -0.04
7 F 0.034 0.293 0.859  0.01
8 F 0.945 0.791 0.710  0.00
9 O 0.439 0.120 0.816  -0.06
10 V 0.134 0.014 0.933  1.97
11 F 0.339 0.627 0.632  0.00
12 Li 0.736 0.860 0.385  0.00
13 O 0.093 0.875 0.433  -0.05
14 F 0.488 0.891 0.255  0.00
15 V 0.298 0.965 0.609  2.10
16 Li 0.221 0.527 0.162  0.00
17 Li 0.878 0.440 0.428  0.00
18 F 0.730 0.805 0.946  -0.01
19 V 0.685 0.955 0.755  2.61
20 F 0.035 0.704 0.098  0.01


(c)
Material: Li4V4O3F9
Method: DFT, GGA+U
State: optimized geometry

Summary:
The value obtained for the theoretical density is 3.4 g/cm³.

Cell: 5.143 5.586 9.240 Å, 85.81 74.00 116.99°
Last column: magnetic moment on the atom in μB.
Element x y z (fractional)
1 Li 0.275 0.150 0.624  0.01
2 F 0.923 0.636 0.116  0.01
3 F 0.886 0.119 0.628  0.00
4 F 0.739 0.042 0.191  0.00
5 V 0.512 0.277 0.253  2.01
6 Li 0.757 0.991 0.402  0.00
7 V 0.982 0.512 0.501  2.69
8 V 0.490 0.775 0.762  1.99
9 Li 0.329 0.781 0.146  0.00
10 F 0.632 0.811 0.953  0.01
11 F 0.727 0.563 0.710  0.00
12 F 0.389 0.702 0.565  0.01
13 F 0.096 0.902 0.372  0.01
14 O 0.613 0.285 0.435  -0.05
15 V 0.062 0.031 0.997  1.94
16 O 0.398 0.192 0.067  -0.06
17 F 0.271 0.481 0.298  0.00
18 F 0.124 0.394 0.876  0.00
19 Li 0.787 0.494 0.909  0.00
20 O 0.238 0.939 0.812  -0.07


What should be chosen as the least stable of them? Choose (a).